# BaInH6Pt2 (PBE, relaxed)
# Fermi-level density of states = 0.12 states/eV/atom
# raw total energy = -4.0082 eV per atom
data_BaInH6Pt2
_symmetry_space_group_name_H-M 'C 1 2/c 1'
_symmetry_Int_Tables_number 15
_cell_length_a 7.9040
_cell_length_b 12.8422
_cell_length_c 6.7556
_cell_angle_alpha 90.00
_cell_angle_beta 118.99
_cell_angle_gamma 90.00
loop_
_symmetry_equiv_pos_as_xyz
'x,y,z'
'-x,-y,-z'
'-x,y,-z+1/2'
'x,-y,z+1/2'
'x+1/2,y+1/2,z'
'-x+1/2,-y+1/2,-z'
'-x+1/2,y+1/2,-z+1/2'
'x+1/2,-y+1/2,z+1/2'
loop_
_atom_site_label
_atom_site_fract_x
_atom_site_fract_y
_atom_site_fract_z
_atom_site_occupancy
Ba1 0.0000 0.1245 0.2500 1
In1 0.0000 0.3075 0.7500 1
H1 0.0822 0.4286 0.0594 1
H2 0.1850 0.0459 0.0341 1
H3 0.2499 0.1886 0.6674 1
Pt1 0.2070 0.1237 0.8545 1


# TlPbAu (PBE, relaxed)
# formation energy from the elements = -36 meV per atom
# Fermi-level density of states = 0.38 states/eV/atom
data_TlPbAu
_symmetry_space_group_name_H-M 'P n m a'
_symmetry_Int_Tables_number 62
_cell_length_a 7.4623
_cell_length_b 4.6489
_cell_length_c 9.1732
_cell_angle_alpha 90.00
_cell_angle_beta 90.00
_cell_angle_gamma 90.00
loop_
_symmetry_equiv_pos_as_xyz
'x,y,z'
'-x,-y,-z'
'-x+1/2,-y,z+1/2'
'x+1/2,y,-z+1/2'
'x+1/2,-y+1/2,-z+1/2'
'-x+1/2,y+1/2,z+1/2'
'-x,y+1/2,-z'
'x,-y+1/2,z'
loop_
_atom_site_label
_atom_site_fract_x
_atom_site_fract_y
_atom_site_fract_z
_atom_site_occupancy
Tl1 0.1431 0.2500 0.0657 1
Pb1 0.0313 0.2500 0.6731 1
Au1 0.2302 0.2500 0.3819 1


# Ti2SnBO (PBE, relaxed)
# Fermi-level density of states = 1.05 states/eV/atom
# formation energy from raw total energies = 1.39 eV/atom
data_Ti2SnBO
_symmetry_space_group_name_H-M 'P 4/m m m'
_symmetry_Int_Tables_number 123
_symmetry_space_group_name_Hall '-P 4 2'
_cell_length_a 5.1518
_cell_length_b 5.1518
_cell_length_c 3.9698
_cell_angle_alpha 90.00
_cell_angle_beta 90.00
_cell_angle_gamma 90.00
loop_
_atom_site_label
_atom_site_fract_x
_atom_site_fract_y
_atom_site_fract_z
_atom_site_occupancy
Ti1 0.0000 0.5000 0.0000 1
Sn1 0.0000 0.0000 0.0000 1
B1 0.5000 0.5000 0.5000 1
O1 0.0000 0.0000 0.5000 1


# Ti2TcBiAs (PBE, relaxed)
# formation energy from the elements = 533 meV per atom
# Fermi-level density of states = 0.73 states/eV/atom
data_Ti2TcBiAs
_symmetry_space_group_name_H-M 'P 4/m m m'
_symmetry_Int_Tables_number 123
_symmetry_space_group_name_Hall '-P 4 2'
_cell_length_a 4.7470
_cell_length_b 4.7470
_cell_length_c 5.1593
_cell_angle_alpha 90.00
_cell_angle_beta 90.00
_cell_angle_gamma 90.00
loop_
_atom_site_label
_atom_site_fract_x
_atom_site_fract_y
_atom_site_fract_z
_atom_site_occupancy
Ti1 0.0000 0.5000 0.0000 1
Tc1 0.0000 0.0000 0.0000 1
Bi1 0.0000 0.0000 0.5000 1
As1 0.5000 0.5000 0.5000 1


# HgMoIr2 (PBE, relaxed)
# formation energy from the elements = 286 meV per atom
# Fermi-level density of states = 0.93 states/eV/atom
data_HgMoIr2
_symmetry_space_group_name_H-M 'C 1 m 1'
_symmetry_Int_Tables_number 8
_cell_length_a 9.4829
_cell_length_b 2.8504
_cell_length_c 4.8980
_cell_angle_alpha 90.00
_cell_angle_beta 100.63
_cell_angle_gamma 90.00
loop_
_symmetry_equiv_pos_as_xyz
'x,y,z'
'x,-y,z'
'x+1/2,y+1/2,z'
'x+1/2,-y+1/2,z'
loop_
_atom_site_label
_atom_site_fract_x
_atom_site_fract_y
_atom_site_fract_z
_atom_site_occupancy
Hg1 0.0000 0.0000 0.0000 1
Mo1 0.2354 0.0000 0.6979 1
Ir1 0.2574 0.5000 0.2371 1
Ir2 0.4946 0.0000 0.5064 1


# TmSc2Co (PBE, relaxed)
# formation energy from the elements = -211 meV per atom
# Fermi-level density of states = 1.26 states/eV/atom
# offset from the most stable computed form = 0.0000 eV/atom
data_TmSc2Co
_symmetry_space_group_name_H-M 'P n m a'
_symmetry_Int_Tables_number 62
_cell_length_a 6.6049
_cell_length_b 8.8148
_cell_length_c 5.9200
_cell_angle_alpha 90.00
_cell_angle_beta 90.00
_cell_angle_gamma 90.00
loop_
_symmetry_equiv_pos_as_xyz
'x,y,z'
'-x,-y,-z'
'-x+1/2,-y,z+1/2'
'x+1/2,y,-z+1/2'
'x+1/2,-y+1/2,-z+1/2'
'-x+1/2,y+1/2,z+1/2'
'-x,y+1/2,-z'
'x,-y+1/2,z'
loop_
_atom_site_label
_atom_site_fract_x
_atom_site_fract_y
_atom_site_fract_z
_atom_site_occupancy
Tm1 0.0362 0.2500 0.1293 1
Sc1 0.1733 0.0656 0.6739 1
Co1 0.1090 0.7500 0.4369 1


# Al2TcC (PBE, relaxed)
# formation energy from the elements = 360 meV per atom
# Fermi-level density of states = 0.73 states/eV/atom
data_Al2TcC
_symmetry_space_group_name_H-M 'I -4 2 d'
_symmetry_Int_Tables_number 122
_symmetry_space_group_name_Hall 'I -4 2bw'
_cell_length_a 7.0454
_cell_length_b 7.0454
_cell_length_c 4.2615
_cell_angle_alpha 90.00
_cell_angle_beta 90.00
_cell_angle_gamma 90.00
loop_
_atom_site_label
_atom_site_fract_x
_atom_site_fract_y
_atom_site_fract_z
_atom_site_occupancy
Al1 0.1399 0.2500 0.1250 1
Tc1 0.0000 0.0000 0.5000 1
C1 0.0000 0.0000 0.0000 1


# KIrW (PBE, relaxed)
# formation energy from the elements = 1659 meV per atom
# Fermi-level density of states = 0.77 states/eV/atom
# offset from the most stable computed form = 0.9871 eV/atom
data_KIrW
_symmetry_space_group_name_H-M 'F -4 3 m'
_symmetry_Int_Tables_number 216
_symmetry_space_group_name_Hall 'F -4 2 3'
_cell_length_a 6.2883
_cell_length_b 6.2883
_cell_length_c 6.2883
_cell_angle_alpha 90.00
_cell_angle_beta 90.00
_cell_angle_gamma 90.00
loop_
_atom_site_label
_atom_site_fract_x
_atom_site_fract_y
_atom_site_fract_z
_atom_site_occupancy
K1 0.0000 0.0000 0.0000 1
Ir1 0.0000 0.0000 0.5000 1
W1 0.2500 0.2500 0.7500 1


> Fermi-level density of states of number 2 (TlPbAu)?

0.38 states/eV/atom


> Among the records above, which one has the highest Fermi-level density of states?

TmSc2Co